Entry 1:
Below is a relaxed SiNi2As crystal, with properties calculated at the PBE level.

Properties
The energy relative to the elements, uncorrected comes out at -197 meV/atom. As for the space-group type: Pm, No. 6. For the size of the total moment, the calculation gives 0.00 μB per atom. Its volume is 14.14 Å³ per atom.

a = 3.0914 Å, b = 4.4955 Å, c = 4.3131 Å
α = 90.00°, β = 109.29°, γ = 90.00°
Last column: nearest neighbours and their distance in Å.
Fractional coordinates of all 4 atoms:
Si 0.0000 0.0000 0.0000  5 Ni 2.31-2.41
Ni 0.6974 0.0000 0.4331  3 Si 2.31-2.35, 2 As 2.42
Ni 0.8914 0.5000 0.7852  3 As 2.32-2.34, 2 Si 2.41
As 0.5897 0.5000 0.2153  5 Ni 2.32-2.42


Entry 2:
Below is a relaxed Tl2SbAsSe5 crystal, with properties calculated at the PBE level.

Properties
The energy relative to the elements, uncorrected comes out at -207 meV/atom. As for the space-group type: Cmc2_1, No. 36. For the size of the total moment, the calculation gives 0.00 μB per atom. Its volume is 29.97 Å³ per atom.

a = 9.5155 Å, b = 9.5155 Å, c = 13.9579 Å
α = 90.00°, β = 90.00°, γ = 154.74°
Last column: nearest neighbours and their distance in Å.
Fractional coordinates of all 18 atoms:
Tl 0.1261 0.8739 0.5000  5 Se 3.19-3.53
Tl 0.1370 0.8630 0.1619  7 Se 3.18-3.47
Tl 0.8630 0.1370 0.6619  7 Se 3.18-3.47
Tl 0.8739 0.1261 0.0000  5 Se 3.19-3.53
Sb 0.2030 0.7970 0.8542  3 Se 2.61-2.77
Sb 0.7970 0.2030 0.3542  3 Se 2.61-2.77
As 0.4468 0.5532 0.2356  4 Se 2.32-2.50
As 0.5532 0.4468 0.7356  4 Se 2.32-2.50
Se 0.0278 0.9722 0.8289  2 As 2.50
Se 0.3077 0.6923 0.4842  2 Sb 2.77
Se 0.3225 0.6775 0.1921  1 As 2.39
Se 0.3428 0.6572 0.8320  1 Sb 2.61
Se 0.4853 0.5147 0.5960  1 As 2.32
Se 0.5147 0.4853 0.0960  1 As 2.32
Se 0.6572 0.3428 0.3320  1 Sb 2.61
Se 0.6775 0.3225 0.6921  1 As 2.39
Se 0.6923 0.3077 0.9842  2 Sb 2.77
Se 0.9722 0.0278 0.3289  2 As 2.50


Entry 3:
Below is a relaxed HoSc2In2 crystal, with properties calculated at the PBE level.

Properties
The formation energy comes out at -168 meV/atom. As for the space-group type: P-3m1, No. 164. For the size of the total moment, the calculation gives 0.00 μB per atom. Its volume is 27.29 Å³ per atom.

a = 5.0407 Å, b = 5.0407 Å, c = 6.2015 Å
α = 90.00°, β = 90.00°, γ = 120.00°
Last column: nearest neighbours and their distance in Å.
Fractional coordinates of all 5 atoms:
Ho 0.0000 0.0000 0.0000  6 In 3.14
Sc 0.3333 0.6667 0.6580  4 In 2.90-3.06
Sc 0.6667 0.3333 0.3420  4 In 2.90-3.06
In 0.3333 0.6667 0.1896  4 Sc 2.90-3.06, 3 Ho 3.14
In 0.6667 0.3333 0.8104  4 Sc 2.90-3.06, 3 Ho 3.14


In eV/atom, the final energy values for the records above are, in order, -5.605; -3.643; -4.712.